Entry 1:
# YMg3Ni PBE relaxed
data_YMg3Ni
_symmetry_space_group_name_H-M 'P m -3 m'
_symmetry_Int_Tables_number 221
_symmetry_space_group_name_Hall '-P 4 2 3'
_cell_length_a 5.8406
_cell_length_b 5.8406
_cell_length_c 5.8406
_cell_angle_alpha 90.00
_cell_angle_beta 90.00
_cell_angle_gamma 90.00
loop_
_atom_site_label
_atom_site_fract_x
_atom_site_fract_y
_atom_site_fract_z
Y1 0.0000 0.0000 0.0000
Mg1 0.0000 0.0000 0.5000
Ni1 0.5000 0.5000 0.5000
# VASP energy ... -9.023 eV per formula unit
# Energy relative to the lowest polymorph listed for this composition ... 1782.0 meV per atom
# Formation energy ... 1.60 eV/atom

=====

Entry 2:
# Y4Mg3Ni PBE relaxed
data_Y4Mg3Ni
_symmetry_space_group_name_H-M 'P 4/m m m'
_symmetry_Int_Tables_number 123
_symmetry_space_group_name_Hall '-P 4 2'
_cell_length_a 3.5510
_cell_length_b 3.5510
_cell_length_c 16.1458
_cell_angle_alpha 90.00
_cell_angle_beta 90.00
_cell_angle_gamma 90.00
loop_
_atom_site_label
_atom_site_fract_x
_atom_site_fract_y
_atom_site_fract_z
Y1 0.0000 0.0000 0.0989
Y2 0.0000 0.0000 0.3686
Mg1 0.5000 0.5000 0.2369
Mg2 0.5000 0.5000 0.5000
Ni1 0.5000 0.5000 0.0000
# VASP energy ... -37.697 eV per formula unit
# Formation energy ... -0.16 eV/atom

=====

Entry 3:
# YMg12Ni6 PBE relaxed
data_YMg12Ni6
_symmetry_space_group_name_H-M 'I m -3'
_symmetry_Int_Tables_number 204
_symmetry_space_group_name_Hall '-I 2 2 3'
_cell_length_a 8.9430
_cell_length_b 8.9430
_cell_length_c 8.9430
_cell_angle_alpha 90.00
_cell_angle_beta 90.00
_cell_angle_gamma 90.00
loop_
_atom_site_label
_atom_site_fract_x
_atom_site_fract_y
_atom_site_fract_z
Y1 0.0000 0.0000 0.0000
Mg1 0.0000 0.2946 0.1887
Ni1 0.0000 0.1273 0.5000
# VASP energy ... -60.271 eV per formula unit
# Formation energy ... 0.00 eV/atom

=====

Entry 4:
# YMgNi PBE relaxed
data_YMgNi
_symmetry_space_group_name_H-M 'I 4 m m'
_symmetry_Int_Tables_number 107
_symmetry_space_group_name_Hall 'I 4 -2'
_cell_length_a 3.3409
_cell_length_b 3.3409
_cell_length_c 11.0855
_cell_angle_alpha 90.00
_cell_angle_beta 90.00
_cell_angle_gamma 90.00
loop_
_atom_site_label
_atom_site_fract_x
_atom_site_fract_y
_atom_site_fract_z
Y1 0.0000 0.0000 0.0000
Mg1 0.0000 0.0000 0.7252
Ni1 0.0000 0.0000 0.3559
# VASP energy ... -14.422 eV per formula unit
# Formation energy ... -0.19 eV/atom

=====

Entry 5:
# Y4Mg5Ni2 PBE relaxed
data_Y4Mg5Ni2
_symmetry_space_group_name_H-M 'P 1 2/m 1'
_symmetry_Int_Tables_number 10
_cell_length_a 7.9209
_cell_length_b 3.5573
_cell_length_c 9.6236
_cell_angle_alpha 90.00
_cell_angle_beta 93.63
_cell_angle_gamma 90.00
loop_
_symmetry_equiv_pos_as_xyz
'x,y,z'
'-x,-y,-z'
'-x,y,-z'
'x,-y,z'
loop_
_atom_site_label
_atom_site_fract_x
_atom_site_fract_y
_atom_site_fract_z
Y1 0.1644 0.0000 0.3401
Y2 0.2070 0.0000 0.9477
Mg1 0.1802 0.5000 0.6487
Mg2 0.4532 0.5000 0.1739
Mg3 0.5000 0.5000 0.5000
Ni1 0.0628 0.5000 0.1342
# VASP energy ... -47.565 eV per formula unit
# Formation energy ... -0.20 eV/atom

=====

Entry 6:
# YMg2Ni PBE relaxed
data_YMg2Ni
_symmetry_space_group_name_H-M 'P 4 m m'
_symmetry_Int_Tables_number 99
_cell_length_a 3.3189
_cell_length_b 3.3189
_cell_length_c 7.6167
_cell_angle_alpha 90.00
_cell_angle_beta 90.00
_cell_angle_gamma 90.00
loop_
_symmetry_equiv_pos_as_xyz
'x,y,z'
'-y,x,z'
'-x,-y,z'
'y,-x,z'
'-x,y,z'
'y,x,z'
'x,-y,z'
'-y,-x,z'
loop_
_atom_site_label
_atom_site_fract_x
_atom_site_fract_y
_atom_site_fract_z
Y1 0.0000 0.0000 0.0000
Mg1 0.0000 0.0000 0.5953
Mg2 0.5000 0.5000 0.3289
Ni1 0.5000 0.5000 0.7833
# VASP energy ... -16.072 eV per formula unit
# Formation energy ... -0.16 eV/atom

=====

Entry 7:
# YMgNi PBE relaxed
data_YMgNi
_symmetry_space_group_name_H-M 'P -6 m 2'
_symmetry_Int_Tables_number 187
_symmetry_space_group_name_Hall 'P -6 2'
_cell_length_a 4.5053
_cell_length_b 4.5053
_cell_length_c 3.5532
_cell_angle_alpha 90.00
_cell_angle_beta 90.00
_cell_angle_gamma 120.00
loop_
_atom_site_label
_atom_site_fract_x
_atom_site_fract_y
_atom_site_fract_z
Y1 0.0000 0.0000 0.0000
Mg1 0.6667 0.3333 0.5000
Ni1 0.3333 0.6667 0.5000
# VASP energy ... -14.151 eV per formula unit
# Formation energy ... -0.10 eV/atom

=====

Entry 8:
# YMg2Ni PBE relaxed
data_YMg2Ni
_symmetry_space_group_name_H-M 'F m -3 m'
_symmetry_Int_Tables_number 225
_symmetry_space_group_name_Hall '-F 4 2 3'
_cell_length_a 6.8201
_cell_length_b 6.8201
_cell_length_c 6.8201
_cell_angle_alpha 90.00
_cell_angle_beta 90.00
_cell_angle_gamma 90.00
loop_
_atom_site_label
_atom_site_fract_x
_atom_site_fract_y
_atom_site_fract_z
Y1 0.0000 0.0000 0.0000
Mg1 0.2500 0.2500 0.2500
Ni1 0.0000 0.0000 0.5000
# VASP energy ... -15.248 eV per formula unit
# Formation energy ... 0.05 eV/atom